DFT (GGA-PBEsol) results for a geometry-optimized Zr2CdIn structure.

Computed properties:
**Theoretical density**: 8167 kg/m³
**Energy relative to the elements**: -0.286 eV/atom
**Space group**: P4/mmm, No. 123
**D(E_F)**: 0.87 states/eV per atom
**M_tot**: 0.00 μB per formula unit

abc: 4.386 4.331 4.385
angles: 90.00 90.00 90.00
Positions (direct):
Zr: 0.000 0.000 0.000
Zr: 0.500 0.000 0.500
In: 0.000 0.500 0.500
Cd: 0.500 0.500 0.000

---

DFT (GGA-PBEsol) results for a geometry-optimized ZrCd2In structure.

Computed properties:
**Theoretical density**: 8369 kg/m³
**Energy relative to the elements**: -0.058 eV/atom
**Space group**: Pmmm, No. 47
**D(E_F)**: 0.73 states/eV per atom
**M_tot**: 0.00 μB per formula unit

abc: 3.187 4.378 6.127
angles: 90.00 90.00 90.00
Positions (direct):
Cd: 0.000 0.000 0.742
Cd: 0.000 0.000 0.258
Zr: 0.500 0.500 0.500
In: 0.500 0.500 0.000

---

DFT (GGA-PBEsol) results for a geometry-optimized ZrCd2In structure.

Computed properties:
**Theoretical density**: 8727 kg/m³
**Energy relative to the elements**: -0.276 eV/atom
**Space group**: P4/mmm, No. 123
**D(E_F)**: 0.38 states/eV per atom
**M_tot**: 0.00 μB per formula unit

abc: 4.293 4.293 4.448
angles: 90.00 90.00 90.00
Positions (direct):
Zr: 0.000 0.000 0.500
Cd: 0.000 0.500 0.000
Cd: 0.500 0.000 0.000
In: 0.500 0.500 0.500

---

DFT (GGA-PBEsol) results for a geometry-optimized Zr2CdIn structure.

Computed properties:
**Theoretical density**: 8170 kg/m³
**Energy relative to the elements**: -0.289 eV/atom
**Space group**: Cmmm, No. 65
**D(E_F)**: 0.85 states/eV per atom
**M_tot**: 0.00 μB per formula unit

abc: 3.106 5.317 5.317
angles: 108.52 90.00 90.00
Positions (direct):
Zr: 0.000 0.000 0.500
Zr: 0.000 0.500 0.000
Cd: 0.500 0.000 0.000
In: 0.500 0.500 0.500

---

DFT (GGA-PBEsol) results for a geometry-optimized Zr2CdIn structure.

Computed properties:
**Theoretical density**: 8177 kg/m³
**Energy relative to the elements**: -0.279 eV/atom
**Space group**: P4/mmm, No. 123
**D(E_F)**: 0.71 states/eV per atom
**M_tot**: 0.00 μB per formula unit

abc: 3.083 3.083 8.752
angles: 90.00 90.00 90.00
Positions (direct):
Zr: 0.000 0.000 0.251
Zr: 0.000 0.000 0.749
Cd: 0.500 0.500 0.000
In: 0.500 0.500 0.500

---

DFT (GGA-PBEsol) results for a geometry-optimized Cd3Ir structure.

Computed properties:
**Theoretical density**: 12086 kg/m³
**Energy relative to the elements**: 0.168 eV/atom
**Space group**: R-3m, No. 166
**D(E_F)**: 0.44 states/eV per atom
**M_tot**: 0.00 μB per formula unit

abc: 2.924 2.924 9.969
angles: 81.57 81.57 60.00
Positions (direct):
Ir: 0.500 0.500 0.500
Cd: 0.243 0.243 0.272
Cd: 0.757 0.757 0.728
Cd: 0.000 0.000 0.000

---

DFT (GGA-PBEsol) results for a geometry-optimized Cd3Ir2 structure.

Computed properties:
**Theoretical density**: 14216 kg/m³
**Energy relative to the elements**: 0.213 eV/atom
**Space group**: R-3m, No. 166
**D(E_F)**: 0.55 states/eV per atom
**M_tot**: 0.00 μB per formula unit

abc: 2.880 2.880 11.853
angles: 83.02 83.02 60.00
Positions (direct):
Cd: 0.204 0.204 0.387
Cd: 0.796 0.796 0.613
Cd: 0.000 0.000 0.000
Ir: 0.398 0.398 0.807
Ir: 0.602 0.602 0.193

---

DFT (GGA-PBEsol) results for a geometry-optimized Cd3Ir structure.

Computed properties:
**Theoretical density**: 11969 kg/m³
**Energy relative to the elements**: 0.145 eV/atom
**Space group**: P4/mmm, No. 123
**D(E_F)**: 0.54 states/eV per atom
**M_tot**: 0.00 μB per formula unit

abc: 3.017 3.017 8.073
angles: 90.00 90.00 90.00
Positions (direct):
Cd: 0.000 0.000 0.278
Cd: 0.500 0.500 0.000
Cd: 0.000 0.000 0.722
Ir: 0.500 0.500 0.500

---

DFT (GGA-PBEsol) results for a geometry-optimized Cd2Ir structure.

Computed properties:
**Theoretical density**: 13286 kg/m³
**Energy relative to the elements**: 0.191 eV/atom
**Space group**: Cmcm, No. 63
**D(E_F)**: 0.64 states/eV per atom
**M_tot**: 0.00 μB per formula unit

abc: 2.916 4.683 7.772
angles: 90.00 100.81 90.00
Positions (direct):
Ir: 0.772 0.250 0.544
Ir: 0.228 0.750 0.456
Cd: 0.119 0.250 0.238
Cd: 0.565 0.750 0.130
Cd: 0.435 0.250 0.870
Cd: 0.881 0.750 0.762

---

DFT (GGA-PBEsol) results for a geometry-optimized Cd2Ir3 structure.

Computed properties:
**Theoretical density**: 16983 kg/m³
**Energy relative to the elements**: 0.193 eV/atom
**Space group**: R-3m, No. 166
**D(E_F)**: 0.75 states/eV per atom
**M_tot**: 0.00 μB per formula unit

abc: 2.812 2.812 11.556
angles: 83.01 83.01 60.00
Positions (direct):
Cd: 0.401 0.401 0.797
Cd: 0.599 0.599 0.203
Ir: 0.000 0.000 0.000
Ir: 0.197 0.197 0.409
Ir: 0.803 0.803 0.591

---

DFT (GGA-PBEsol) results for a geometry-optimized Cd3Ir structure.

Computed properties:
**Theoretical density**: 12469 kg/m³
**Energy relative to the elements**: 0.083 eV/atom
**Space group**: I4/mmm, No. 139
**D(E_F)**: 0.39 states/eV per atom
**M_tot**: 0.00 μB per formula unit

abc: 4.051 4.057 5.160
angles: 113.15 113.11 90.00
Positions (direct):
Cd: 0.750 0.750 0.500
Cd: 0.500 0.000 0.000
Cd: 0.250 0.250 0.500
Ir: 0.000 0.500 0.000

---

DFT (GGA-PBEsol) results for a geometry-optimized Cd2Ir structure.

Computed properties:
**Theoretical density**: 13443 kg/m³
**Energy relative to the elements**: 0.238 eV/atom
**Space group**: P6/mmm, No. 191
**D(E_F)**: 0.71 states/eV per atom
**M_tot**: 0.00 μB per formula unit

abc: 2.853 4.566 4.566
angles: 120.00 90.00 90.00
Positions (direct):
Cd: 0.000 0.667 0.333
Cd: 0.000 0.333 0.667
Ir: 0.500 0.000 0.000

---

DFT (GGA-PBEsol) results for a geometry-optimized Cd2Ir structure.

Computed properties:
**Theoretical density**: 13142 kg/m³
**Energy relative to the elements**: 0.651 eV/atom
**Space group**: Fd-3m, No. 227
**D(E_F)**: 0.62 states/eV per atom
**M_tot**: 0.00 μB per formula unit

abc: 5.302 5.302 5.302
angles: 60.00 60.00 60.00
Positions (direct):
Cd: 0.625 0.125 0.125
Cd: 0.125 0.125 0.625
Cd: 0.125 0.625 0.125
Cd: 0.125 0.125 0.125
Ir: 0.750 0.750 0.750
Ir: 0.500 0.500 0.500

---

DFT (GGA-PBEsol) results for a geometry-optimized Cd5Ir structure.

Computed properties:
**Theoretical density**: 11012 kg/m³
**Energy relative to the elements**: 0.346 eV/atom
**Space group**: F-43m, No. 216
**D(E_F)**: 0.49 states/eV per atom
**M_tot**: 0.00 μB per formula unit

abc: 5.439 5.439 5.439
angles: 60.00 60.00 60.00
Positions (direct):
Ir: 0.000 0.000 0.000
Cd: 0.124 0.625 0.625
Cd: 0.625 0.625 0.124
Cd: 0.625 0.625 0.625
Cd: 0.250 0.250 0.250
Cd: 0.625 0.124 0.625

---

DFT (GGA-PBEsol) results for a geometry-optimized K2CdIr structure.

Computed properties:
**Theoretical density**: 6619 kg/m³
**Energy relative to the elements**: 0.680 eV/atom
**Space group**: P4/mmm, No. 123
**D(E_F)**: 0.96 states/eV per atom
**M_tot**: 0.36 μB per formula unit

abc: 2.944 2.944 11.079
angles: 90.00 90.00 90.00
Positions (direct):
K: 0.000 0.000 0.282
K: 0.000 0.000 0.718
Ir: 0.500 0.500 0.500
Cd: 0.500 0.500 0.000

---

DFT (GGA-PBEsol) results for a geometry-optimized K2CdIr structure.

Computed properties:
**Theoretical density**: 5622 kg/m³
**Energy relative to the elements**: 0.577 eV/atom
**Space group**: Imm2, No. 44
**D(E_F)**: 0.49 states/eV per atom
**M_tot**: 0.00 μB per formula unit

abc: 4.629 5.562 5.690
angles: 119.26 114.00 90.00
Positions (direct):
Cd: 0.445 0.445 0.890
K: 0.018 0.018 0.036
K: 0.226 0.726 0.452
Ir: 0.812 0.312 0.623

---

DFT (GGA-PBEsol) results for a geometry-optimized K2CdIr structure.

Computed properties:
**Theoretical density**: 6599 kg/m³
**Energy relative to the elements**: 0.594 eV/atom
**Space group**: Pm, No. 6
**D(E_F)**: 0.57 states/eV per atom
**M_tot**: 0.00 μB per formula unit

abc: 2.821 5.113 6.680
angles: 90.00 91.19 90.00
Positions (direct):
Ir: 0.376 0.500 0.726
K: 0.857 0.500 0.285
K: 0.893 0.000 0.963
Cd: 0.373 0.000 0.526

---

DFT (GGA-PBEsol) results for a geometry-optimized KCd2IrPb structure.

Computed properties:
**Theoretical density**: 7750 kg/m³
**Energy relative to the elements**: 0.014 eV/atom
**Space group**: P4/mmm, No. 123
**D(E_F)**: 0.34 states/eV per atom
**M_tot**: 0.00 μB per formula unit

abc: 5.115 5.271 5.271
angles: 90.00 90.00 90.00
Positions (direct):
Cd: 0.000 0.000 0.500
Cd: 0.000 0.500 0.000
Pb: 0.500 0.000 0.000
Ir: 0.000 0.000 0.000
K: 0.500 0.500 0.500

---

DFT (GGA-PBEsol) results for a geometry-optimized La4CdIr structure.

Computed properties:
**Theoretical density**: 8236 kg/m³
**Energy relative to the elements**: -0.442 eV/atom
**Space group**: F-43m, No. 216
**D(E_F)**: 0.77 states/eV per atom
**M_tot**: 0.00 μB per formula unit

abc: 9.937 9.937 9.937
angles: 60.00 60.00 60.00
Positions (direct):
La: 0.441 0.059 0.441
La: 0.191 0.809 0.809
La: 0.809 0.191 0.809
La: 0.191 0.809 0.191
La: 0.441 0.059 0.059
La: 0.059 0.059 0.441
La: 0.059 0.441 0.441
La: 0.652 0.652 0.044
La: 0.652 0.652 0.652
La: 0.059 0.441 0.059
La: 0.044 0.652 0.652
La: 0.652 0.044 0.652
La: 0.809 0.191 0.191
La: 0.191 0.191 0.809
La: 0.809 0.809 0.191
La: 0.441 0.441 0.059
Cd: 0.421 0.421 0.421
Cd: 0.421 0.736 0.421
Cd: 0.736 0.421 0.421
Cd: 0.421 0.421 0.736
Ir: 0.859 0.859 0.424
Ir: 0.859 0.859 0.859
Ir: 0.424 0.859 0.859
Ir: 0.859 0.424 0.859

---

DFT (GGA-PBEsol) results for a geometry-optimized LaCd4Ir structure.

Computed properties:
**Theoretical density**: 10518 kg/m³
**Energy relative to the elements**: -0.076 eV/atom
**Space group**: F-43m, No. 216
**M_tot**: 0.00 μB per formula unit

abc: 5.586 5.586 5.586
angles: 60.00 60.00 60.00
Positions (direct):
Cd: 0.376 0.872 0.376
Cd: 0.872 0.376 0.376
Cd: 0.376 0.376 0.872
Cd: 0.376 0.376 0.376
Ir: 0.750 0.750 0.750
La: 0.000 0.000 0.000

---

DFT (GGA-PBEsol) results for a geometry-optimized Li2CdIr2 structure.

Computed properties:
**Theoretical density**: 11860 kg/m³
**Energy relative to the elements**: 0.234 eV/atom
**Space group**: P4/mbm, No. 127
**D(E_F)**: 0.83 states/eV per atom
**M_tot**: 0.00 μB per formula unit

abc: 2.640 7.361 7.361
angles: 90.00 90.00 90.00
Positions (direct):
Ir: 0.500 0.378 0.122
Ir: 0.500 0.622 0.878
Ir: 0.500 0.122 0.622
Ir: 0.500 0.878 0.378
Cd: 0.000 0.500 0.500
Cd: 0.000 0.000 0.000
Li: 0.000 0.830 0.670
Li: 0.000 0.330 0.830
Li: 0.000 0.170 0.330
Li: 0.000 0.670 0.170

---

DFT (GGA-PBEsol) results for a geometry-optimized LiCdIr3 structure.

Computed properties:
**Theoretical density**: 10097 kg/m³
**Energy relative to the elements**: 2.303 eV/atom
**Space group**: Pm-3m, No. 221
**D(E_F)**: 2.09 states/eV per atom
**M_tot**: 2.70 μB per formula unit

abc: 4.855 4.855 4.855
angles: 90.00 90.00 90.00
Positions (direct):
Ir: 0.000 0.500 0.000
Ir: 0.500 0.000 0.000
Ir: 0.000 0.000 0.500
Cd: 0.000 0.000 0.000
Li: 0.500 0.500 0.500

---

DFT (GGA-PBEsol) results for a geometry-optimized Li2MnCdIr structure.

Computed properties:
**Theoretical density**: 6944 kg/m³
**Energy relative to the elements**: 1.178 eV/atom
**Space group**: P4/mmm, No. 123
**D(E_F)**: 0.54 states/eV per atom
**M_tot**: 4.28 μB per formula unit

abc: 4.276 4.276 4.885
angles: 90.00 90.00 90.00
Positions (direct):
Cd: 0.000 0.000 0.000
Li: 0.000 0.500 0.000
Li: 0.500 0.000 0.000
Mn: 0.000 0.000 0.500
Ir: 0.500 0.500 0.500

---

DFT (GGA-PBEsol) results for a geometry-optimized LiCdIrRu2 structure.

Computed properties:
**Theoretical density**: 7753 kg/m³
**Energy relative to the elements**: 1.267 eV/atom
**Space group**: P4/mmm, No. 123
**D(E_F)**: 1.37 states/eV per atom
**M_tot**: 0.25 μB per formula unit

abc: 4.642 4.642 5.106
angles: 90.00 90.00 90.00
Positions (direct):
Cd: 0.000 0.000 0.500
Ir: 0.000 0.000 0.000
Ru: 0.000 0.500 0.000
Ru: 0.500 0.000 0.000
Li: 0.500 0.500 0.500

---

DFT (GGA-PBEsol) results for a geometry-optimized LiCdSnIr2 structure.

Computed properties:
**Theoretical density**: 8368 kg/m³
**Energy relative to the elements**: 1.209 eV/atom
**Space group**: P4/mmm, No. 123
**D(E_F)**: 0.90 states/eV per atom
**M_tot**: 0.00 μB per formula unit

abc: 4.882 4.882 5.184
angles: 90.00 90.00 90.00
Positions (direct):
Sn: 0.000 0.000 0.000
Cd: 0.000 0.000 0.500
Ir: 0.500 0.000 0.000
Ir: 0.000 0.500 0.000
Li: 0.500 0.500 0.500

---

DFT (GGA-PBEsol) results for a geometry-optimized Lu4CdIr structure.

Computed properties:
**Theoretical density**: 11828 kg/m³
**Energy relative to the elements**: -0.552 eV/atom
**Space group**: F-43m, No. 216
**D(E_F)**: 0.79 states/eV per atom
**M_tot**: 0.00 μB per formula unit

abc: 9.274 9.274 9.274
angles: 60.00 60.00 60.00
Positions (direct):
Lu: 0.438 0.062 0.062
Lu: 0.810 0.810 0.190
Lu: 0.062 0.062 0.438
Lu: 0.438 0.438 0.062
Lu: 0.050 0.650 0.650
Lu: 0.650 0.650 0.650
Lu: 0.438 0.062 0.438
Lu: 0.190 0.810 0.190
Lu: 0.810 0.190 0.190
Lu: 0.062 0.438 0.062
Lu: 0.650 0.650 0.050
Lu: 0.810 0.190 0.810
Lu: 0.190 0.810 0.810
Lu: 0.190 0.190 0.810
Lu: 0.650 0.050 0.650
Lu: 0.062 0.438 0.438
Cd: 0.743 0.419 0.419
Cd: 0.419 0.419 0.743
Cd: 0.419 0.743 0.419
Cd: 0.419 0.419 0.419
Ir: 0.858 0.426 0.858
Ir: 0.858 0.858 0.858
Ir: 0.426 0.858 0.858
Ir: 0.858 0.858 0.426

---

DFT (GGA-PBEsol) results for a geometry-optimized MgCd2Ir structure.

Computed properties:
**Theoretical density**: 10519 kg/m³
**Energy relative to the elements**: 0.039 eV/atom
**Space group**: Cmmm, No. 65
**D(E_F)**: 0.43 states/eV per atom
**M_tot**: 0.00 μB per formula unit

abc: 3.158 4.771 4.771
angles: 104.30 90.00 90.00
Positions (direct):
Cd: 0.000 0.500 0.000
Cd: 0.000 0.000 0.500
Ir: 0.500 0.000 0.000
Mg: 0.500 0.500 0.500